Compound: CoCu2Bi2O6
Source: Alexandria via LeMat-Bulk
Functional: PBE+U
Structure: relaxed

- total energy (Ry per atom) = -0.3935
- DOS at the Fermi energy (states/eV per atom) = 0.7773

a b c (Å): 5.8306 5.8306 5.9275
angles (deg): 60.54 60.54 60.00
Closest atoms and distances in Å follow each position.
Element x y z (fractional)
Co1 0.0000 0.0000 0.0000  6 O 1.93
Cu1 0.4102 0.4102 0.7694  3 O 1.90
Cu2 0.5898 0.5898 0.2306  3 O 1.90
Bi1 0.7995 0.7995 0.6015  3 O 2.23
Bi2 0.2005 0.2005 0.3985  3 O 2.23
O1 0.7687 0.7687 0.2580  1 Cu 1.90, 1 Co 1.93
O2 0.2046 0.7687 0.2580  1 Cu 1.90, 1 Co 1.93
O3 0.7687 0.2046 0.2580  1 Cu 1.90, 1 Co 1.93
O4 0.2313 0.7954 0.7420  1 Cu 1.90, 1 Co 1.93
O5 0.7954 0.2313 0.7420  1 Cu 1.90, 1 Co 1.93
O6 0.2313 0.2313 0.7420  1 Cu 1.90, 1 Co 1.93